# 1
CoH2O2 at its PBEsol-relaxed geometry. Source: Alexandria via LeMat-Bulk, functional meta-GGA SCAN.

Properties
Excess energy over the best structure of this formula in the dataset   0.0 meV/atom

abc: 3.026 3.026 4.855
angles: 105.83 105.83 63.76
Fractional coordinates of all 5 atoms:
Co: 0.000 0.000 0.000
H: 0.196 0.196 0.558
H: 0.804 0.804 0.442
O: 0.272 0.272 0.771
O: 0.728 0.728 0.229

=====

# 2
ZrMo2Se at its PBEsol-relaxed geometry. Source: Alexandria via LeMat-Bulk, functional meta-GGA SCAN.

Properties
Raw formation energy   0.037 eV per atom

abc: 2.997 2.997 8.317
angles: 90.00 90.00 112.16
Fractional coordinates of all 4 atoms:
Zr: 0.000 0.000 0.000
Mo: 0.000 0.000 0.503
Mo: 0.500 0.500 0.732
Se: 0.500 0.500 0.252

=====

# 3
TaMnRh2 at its PBEsol-relaxed geometry. Source: Alexandria via LeMat-Bulk, functional meta-GGA SCAN.

Properties
Formation energy   -2.5 eV/f.u.

abc: 4.539 4.539 4.539
angles: 127.30 127.30 77.76
Fractional coordinates of all 4 atoms:
Ta: 0.000 0.000 0.000
Mn: 0.500 0.500 0.000
Rh: 0.250 0.750 0.500
Rh: 0.750 0.250 0.500

=====

# 4
RbHfSbI2 at its PBEsol-relaxed geometry. Source: Alexandria via LeMat-Bulk, functional meta-GGA SCAN.

Properties
Raw formation energy   -0.598 eV per atom

abc: 5.755 5.755 5.525
angles: 90.00 90.00 90.00
Fractional coordinates of all 5 atoms:
Rb: 0.000 0.000 0.000
Hf: 0.500 0.500 0.500
Sb: 0.500 0.500 0.000
I: 0.000 0.500 0.500
I: 0.500 0.000 0.500

=====

# 5
FeHS2N at its PBEsol-relaxed geometry. Source: Alexandria via LeMat-Bulk, functional meta-GGA SCAN.

Properties
Final energy   -45.04 eV per formula unit

abc: 4.504 4.504 3.319
angles: 90.00 90.00 90.00
Fractional coordinates of all 5 atoms:
Fe: 0.000 0.000 0.000
H: 0.500 0.500 0.500
S: 0.000 0.500 0.000
S: 0.500 0.000 0.000
N: 0.000 0.000 0.500

=====

# 6
ReOsPt2 at its PBEsol-relaxed geometry. Source: Alexandria via LeMat-Bulk, functional meta-GGA SCAN.

Properties
Excess energy over the best structure of this formula in the dataset   33.9 meV/atom
Formation energy   -0.1 eV/f.u.

abc: 2.724 3.872 5.515
angles: 90.00 90.00 90.00
Fractional coordinates of all 4 atoms:
Re: 0.000 0.000 0.000
Os: 0.500 0.500 0.227
Pt: 0.000 0.000 0.485
Pt: 0.500 0.500 0.743

=====

# 7
HgOs2Ru at its PBEsol-relaxed geometry. Source: Alexandria via LeMat-Bulk, functional meta-GGA SCAN.

Properties
Formation energy   3.4 eV/f.u.

abc: 2.742 2.742 9.573
angles: 90.00 90.00 120.11
Fractional coordinates of all 4 atoms:
Hg: 0.000 0.000 0.000
Os: 0.500 0.500 0.271
Os: 0.500 0.500 0.729
Ru: 0.000 0.000 0.500

=====

# 8
KS3Br at its PBEsol-relaxed geometry. Source: Alexandria via LeMat-Bulk, functional meta-GGA SCAN.

Properties
Raw formation energy   0.343 eV per atom

abc: 4.959 4.959 4.959
angles: 90.00 90.00 90.00
Fractional coordinates of all 5 atoms:
K: 0.000 0.000 0.000
S: 0.000 0.500 0.500
S: 0.500 0.000 0.500
S: 0.500 0.500 0.000
Br: 0.500 0.500 0.500

=====

# 9
Sr2CuOs at its PBEsol-relaxed geometry. Source: Alexandria via LeMat-Bulk, functional meta-GGA SCAN.

Properties
Formation energy   1.2 eV/f.u.

abc: 4.249 5.787 5.787
angles: 46.69 90.00 90.00
Fractional coordinates of all 4 atoms:
Sr: 0.000 0.000 0.000
Sr: 0.500 0.286 0.286
Cu: 0.000 0.694 0.694
Os: 0.500 0.596 0.596

=====

# 10
YScMo2 at its PBEsol-relaxed geometry. Source: Alexandria via LeMat-Bulk, functional meta-GGA SCAN.

Properties
Excess energy over the best structure of this formula in the dataset   178.7 meV/atom
Formation energy   1.1 eV/f.u.

abc: 3.078 4.299 6.063
angles: 90.00 101.83 90.00
Fractional coordinates of all 4 atoms:
Y: 0.000 0.000 0.000
Sc: 0.275 0.500 0.689
Mo: 0.541 0.000 0.453
Mo: 0.720 0.500 0.270

=====

# 11
Ta2Be2Nb at its PBEsol-relaxed geometry. Source: Alexandria via LeMat-Bulk, functional meta-GGA SCAN.

Properties
Formation energy   -0.7 eV/f.u.

abc: 6.443 6.443 3.337
angles: 90.00 90.00 90.00
Fractional coordinates of all 10 atoms:
Ta: 0.179 0.321 0.000
Ta: 0.321 0.821 0.000
Ta: 0.679 0.179 0.000
Ta: 0.821 0.679 0.000
Be: 0.113 0.613 0.500
Be: 0.387 0.113 0.500
Be: 0.613 0.887 0.500
Be: 0.887 0.387 0.500
Nb: 0.000 0.000 0.500
Nb: 0.500 0.500 0.500

=====

# 12
AgRuSe at its PBEsol-relaxed geometry. Source: Alexandria via LeMat-Bulk, functional meta-GGA SCAN.

Properties
Excess energy over the best structure of this formula in the dataset   159.1 meV/atom
Raw formation energy   0.490 eV per atom

abc: 7.425 7.157 2.863
angles: 84.00 73.45 22.55
Fractional coordinates of all 3 atoms:
Ag: 0.000 0.000 0.000
Ru: 0.667 0.667 0.333
Se: 0.302 0.302 0.698

=====

Taking the records one at a time from the top gives DOS(E_F) values of 0.009; 0.647; 0.462; 0.450; 0.519; 0.847; 1.252; 0.803; 0.613; 1.203; 0.968; 0.855 states/eV per atom.